# MnZnCl2 PBE relaxed
data_MnZnCl2
_chemical_formula_sum 'Mn1 Zn1 Cl2'
_symmetry_space_group_name_H-M 'P 1'
_symmetry_Int_Tables_number 1
_cell_length_a 4.8432
_cell_length_b 4.8432
_cell_length_c 3.3440
_cell_angle_alpha 90.00
_cell_angle_beta 90.00
_cell_angle_gamma 95.45
loop_
_symmetry_equiv_pos_as_xyz
'x,y,z'
loop_
_atom_site_label
_atom_site_type_symbol
_atom_site_fract_x
_atom_site_fract_y
_atom_site_fract_z
Zn1 Zn 0.0000 0.5000 0.5000
Mn1 Mn 0.5000 0.0000 0.5000
Cl1 Cl 0.0000 0.0000 0.0000
Cl2 Cl 0.5000 0.5000 0.0000
# calculated volume: 78.08 Å³ per cell
# space group: Cmmm
# energy: -3.5474 eV/atom
# Fermi-level density of states: 2.642 states/eV/f.u.
# ΔE_f (raw): -0.013 eV per atom

# MnZn2Cl PBE relaxed
data_MnZn2Cl
_chemical_formula_sum 'Mn1 Zn2 Cl1'
_symmetry_space_group_name_H-M 'P 1'
_symmetry_Int_Tables_number 1
_cell_length_a 4.8816
_cell_length_b 4.8816
_cell_length_c 4.8816
_cell_angle_alpha 60.00
_cell_angle_beta 60.00
_cell_angle_gamma 60.00
loop_
_symmetry_equiv_pos_as_xyz
'x,y,z'
loop_
_atom_site_label
_atom_site_type_symbol
_atom_site_fract_x
_atom_site_fract_y
_atom_site_fract_z
Zn1 Zn 0.2500 0.2500 0.2500
Zn2 Zn 0.7500 0.7500 0.7500
Mn1 Mn 0.5000 0.5000 0.5000
Cl1 Cl 0.0000 0.0000 0.0000
# calculated volume: 82.26 Å³ per cell
# space group: Fm-3m
# energy: -2.8955 eV/atom
# Fermi-level density of states: 2.270 states/eV/f.u.
# ΔE_f (raw): 0.495 eV per atom

# Mn2ZnCl PBE relaxed
data_Mn2ZnCl
_chemical_formula_sum 'Mn4 Zn2 Cl2'
_symmetry_space_group_name_H-M 'P 1'
_symmetry_Int_Tables_number 1
_cell_length_a 6.9206
_cell_length_b 6.9206
_cell_length_c 5.6942
_cell_angle_alpha 52.58
_cell_angle_beta 52.58
_cell_angle_gamma 90.00
loop_
_symmetry_equiv_pos_as_xyz
'x,y,z'
loop_
_atom_site_label
_atom_site_type_symbol
_atom_site_fract_x
_atom_site_fract_y
_atom_site_fract_z
Zn1 Zn 0.0000 0.0000 0.0000
Zn2 Zn 0.7500 0.2500 0.5000
Mn1 Mn 0.6125 0.1250 0.2500
Mn2 Mn 0.1375 0.6250 0.2500
Mn3 Mn 0.3750 0.3875 0.7500
Mn4 Mn 0.8750 0.8625 0.7500
Cl1 Cl 0.5000 0.5000 0.0000
Cl2 Cl 0.2500 0.7500 0.5000
# calculated volume: 139.44 Å³ per cell
# space group: I-42d
# energy: -5.0078 eV/atom
# Fermi-level density of states: 2.983 states/eV/f.u.
# ΔE_f (raw): 0.357 eV per atom

# Mn2ZnCl PBE relaxed
data_Mn2ZnCl
_chemical_formula_sum 'Mn2 Zn1 Cl1'
_symmetry_space_group_name_H-M 'P 1'
_symmetry_Int_Tables_number 1
_cell_length_a 4.6512
_cell_length_b 3.0113
_cell_length_c 4.7900
_cell_angle_alpha 89.99
_cell_angle_beta 90.00
_cell_angle_gamma 90.00
loop_
_symmetry_equiv_pos_as_xyz
'x,y,z'
loop_
_atom_site_label
_atom_site_type_symbol
_atom_site_fract_x
_atom_site_fract_y
_atom_site_fract_z
Cl1 Cl 0.5000 0.0002 0.8339
Mn1 Mn 0.0000 0.0000 0.9349
Mn2 Mn 0.5000 0.9999 0.3330
Zn1 Zn 0.0000 0.4999 0.3982
# calculated volume: 67.09 Å³ per cell
# space group: Pmm2
# energy: -5.1511 eV/atom
# Fermi-level density of states: 2.990 states/eV/f.u.
# ΔE_f (raw): 0.214 eV per atom

# Mn2ZnCl PBE relaxed
data_Mn2ZnCl
_chemical_formula_sum 'Mn2 Zn1 Cl1'
_symmetry_space_group_name_H-M 'P 1'
_symmetry_Int_Tables_number 1
_cell_length_a 4.8097
_cell_length_b 4.8097
_cell_length_c 4.8097
_cell_angle_alpha 129.27
_cell_angle_beta 129.27
_cell_angle_gamma 74.57
loop_
_symmetry_equiv_pos_as_xyz
'x,y,z'
loop_
_atom_site_label
_atom_site_type_symbol
_atom_site_fract_x
_atom_site_fract_y
_atom_site_fract_z
Cl1 Cl 0.7500 0.2500 0.5000
Mn1 Mn 0.0000 0.0000 0.0000
Mn2 Mn 0.5000 0.5000 0.0000
Zn1 Zn 0.2500 0.7500 0.5000
# calculated volume: 64.98 Å³ per cell
# space group: I4/mmm
# energy: -4.9268 eV/atom
# Fermi-level density of states: 2.895 states/eV/f.u.
# ΔE_f (raw): 0.438 eV per atom

# MnZn2Cl PBE relaxed
data_MnZn2Cl
_chemical_formula_sum 'Mn1 Zn2 Cl1'
_symmetry_space_group_name_H-M 'P 1'
_symmetry_Int_Tables_number 1
_cell_length_a 5.5597
_cell_length_b 5.5597
_cell_length_c 5.5597
_cell_angle_alpha 149.09
_cell_angle_beta 125.71
_cell_angle_gamma 63.80
loop_
_symmetry_equiv_pos_as_xyz
'x,y,z'
loop_
_atom_site_label
_atom_site_type_symbol
_atom_site_fract_x
_atom_site_fract_y
_atom_site_fract_z
Cl1 Cl 0.4618 0.4618 0.0000
Mn1 Mn 0.2550 0.7550 0.5000
Zn1 Zn 0.0227 0.0227 0.0000
Zn2 Zn 0.7606 0.2606 0.5000
# calculated volume: 70.97 Å³ per cell
# space group: Imm2
# energy: -3.3180 eV/atom
# Fermi-level density of states: 1.838 states/eV/f.u.
# ΔE_f (raw): 0.073 eV per atom

# MnZn2Cl PBE relaxed
data_MnZn2Cl
_chemical_formula_sum 'Mn1 Zn2 Cl1'
_symmetry_space_group_name_H-M 'P 1'
_symmetry_Int_Tables_number 1
_cell_length_a 3.0997
_cell_length_b 3.0997
_cell_length_c 8.4242
_cell_angle_alpha 90.00
_cell_angle_beta 90.00
_cell_angle_gamma 112.68
loop_
_symmetry_equiv_pos_as_xyz
'x,y,z'
loop_
_atom_site_label
_atom_site_type_symbol
_atom_site_fract_x
_atom_site_fract_y
_atom_site_fract_z
Cl1 Cl 0.0000 0.0000 0.5511
Mn1 Mn 0.5000 0.5000 0.7542
Zn1 Zn 0.0000 0.0000 0.9832
Zn2 Zn 0.5000 0.5000 0.2115
# calculated volume: 74.68 Å³ per cell
# space group: Cmm2
# energy: -3.3626 eV/atom
# Fermi-level density of states: 1.793 states/eV/f.u.
# ΔE_f (raw): 0.028 eV per atom

# MnZnCl2 PBE relaxed
data_MnZnCl2
_chemical_formula_sum 'Mn1 Zn1 Cl2'
_symmetry_space_group_name_H-M 'P 1'
_symmetry_Int_Tables_number 1
_cell_length_a 6.3674
_cell_length_b 6.3674
_cell_length_c 6.3674
_cell_angle_alpha 148.60
_cell_angle_beta 123.04
_cell_angle_gamma 66.50
loop_
_symmetry_equiv_pos_as_xyz
'x,y,z'
loop_
_atom_site_label
_atom_site_type_symbol
_atom_site_fract_x
_atom_site_fract_y
_atom_site_fract_z
Zn1 Zn 0.2500 0.7500 0.5000
Mn1 Mn 0.7500 0.2500 0.5000
Cl1 Cl 0.9100 0.9100 0.0000
Cl2 Cl 0.5900 0.5900 0.0000
# calculated volume: 111.45 Å³ per cell
# space group: Immm
# energy: -3.9883 eV/atom
# Fermi-level density of states: 0.123 states/eV/f.u.
# ΔE_f (raw): -0.454 eV per atom

# MnZnCl2 PBE relaxed
data_MnZnCl2
_chemical_formula_sum 'Mn1 Zn1 Cl2'
_symmetry_space_group_name_H-M 'P 1'
_symmetry_Int_Tables_number 1
_cell_length_a 6.1941
_cell_length_b 6.1941
_cell_length_c 7.1944
_cell_angle_alpha 54.47
_cell_angle_beta 54.47
_cell_angle_gamma 31.21
loop_
_symmetry_equiv_pos_as_xyz
'x,y,z'
loop_
_atom_site_label
_atom_site_type_symbol
_atom_site_fract_x
_atom_site_fract_y
_atom_site_fract_z
Zn1 Zn 0.2193 0.2193 0.3984
Mn1 Mn 0.4769 0.4769 0.6481
Cl1 Cl 0.9069 0.9069 0.9578
Cl2 Cl 0.8969 0.8969 0.4958
# calculated volume: 114.05 Å³ per cell
# space group: Cm
# energy: -4.0299 eV/atom
# Fermi-level density of states: 0.032 states/eV/f.u.
# ΔE_f (raw): -0.496 eV per atom

# Mn2ZnCl PBE relaxed
data_Mn2ZnCl
_chemical_formula_sum 'Mn2 Zn1 Cl1'
_symmetry_space_group_name_H-M 'P 1'
_symmetry_Int_Tables_number 1
_cell_length_a 8.0958
_cell_length_b 8.0958
_cell_length_c 8.0958
_cell_angle_alpha 21.91
_cell_angle_beta 21.91
_cell_angle_gamma 21.91
loop_
_symmetry_equiv_pos_as_xyz
'x,y,z'
loop_
_atom_site_label
_atom_site_type_symbol
_atom_site_fract_x
_atom_site_fract_y
_atom_site_fract_z
Cl1 Cl 0.7500 0.7500 0.7500
Mn1 Mn 0.0000 0.0000 0.0000
Mn2 Mn 0.5000 0.5000 0.5000
Zn1 Zn 0.2500 0.2500 0.2500
# calculated volume: 64.76 Å³ per cell
# space group: R-3m
# energy: -5.2878 eV/atom
# Fermi-level density of states: 1.686 states/eV/f.u.
# ΔE_f (raw): 0.077 eV per atom

# MnZnCl2 PBE relaxed
data_MnZnCl2
_chemical_formula_sum 'Mn1 Zn1 Cl2'
_symmetry_space_group_name_H-M 'P 1'
_symmetry_Int_Tables_number 1
_cell_length_a 8.1638
_cell_length_b 6.2243
_cell_length_c 3.3028
_cell_angle_alpha 57.78
_cell_angle_beta 114.11
_cell_angle_gamma 139.83
loop_
_symmetry_equiv_pos_as_xyz
'x,y,z'
loop_
_atom_site_label
_atom_site_type_symbol
_atom_site_fract_x
_atom_site_fract_y
_atom_site_fract_z
Zn1 Zn 0.5000 0.5000 0.0000
Mn1 Mn 0.0000 0.5000 0.5000
Cl1 Cl 0.0000 0.0000 0.0000
Cl2 Cl 0.5000 0.0000 0.5000
# calculated volume: 91.58 Å³ per cell
# space group: C2/m
# energy: -3.6679 eV/atom
# Fermi-level density of states: 1.517 states/eV/f.u.
# ΔE_f (raw): -0.134 eV per atom

# Mn2ZnCl PBE relaxed
data_Mn2ZnCl
_chemical_formula_sum 'Mn2 Zn1 Cl1'
_symmetry_space_group_name_H-M 'P 1'
_symmetry_Int_Tables_number 1
_cell_length_a 4.1461
_cell_length_b 4.1461
_cell_length_c 4.1461
_cell_angle_alpha 60.00
_cell_angle_beta 60.00
_cell_angle_gamma 60.00
loop_
_symmetry_equiv_pos_as_xyz
'x,y,z'
loop_
_atom_site_label
_atom_site_type_symbol
_atom_site_fract_x
_atom_site_fract_y
_atom_site_fract_z
Zn1 Zn 0.5000 0.5000 0.5000
Mn1 Mn 0.2500 0.2500 0.2500
Mn2 Mn 0.7500 0.7500 0.7500
Cl1 Cl 0.0000 0.0000 0.0000
# calculated volume: 50.40 Å³ per cell
# space group: Fm-3m
# energy: -4.3966 eV/atom
# Fermi-level density of states: 8.246 states/eV/f.u.
# ΔE_f (raw): 0.968 eV per atom

# MnZnCl2 PBE relaxed
data_MnZnCl2
_chemical_formula_sum 'Mn1 Zn1 Cl2'
_symmetry_space_group_name_H-M 'P 1'
_symmetry_Int_Tables_number 1
_cell_length_a 4.8749
_cell_length_b 4.8749
_cell_length_c 4.8749
_cell_angle_alpha 60.00
_cell_angle_beta 60.00
_cell_angle_gamma 60.00
loop_
_symmetry_equiv_pos_as_xyz
'x,y,z'
loop_
_atom_site_label
_atom_site_type_symbol
_atom_site_fract_x
_atom_site_fract_y
_atom_site_fract_z
Zn1 Zn 0.7500 0.7500 0.7500
Mn1 Mn 0.5000 0.5000 0.5000
Cl1 Cl 0.0000 0.0000 0.0000
Cl2 Cl 0.2500 0.2500 0.2500
# calculated volume: 81.92 Å³ per cell
# space group: F-43m
# energy: -3.3852 eV/atom
# Fermi-level density of states: 0.213 states/eV/f.u.
# ΔE_f (raw): 0.149 eV per atom

# MnZn2Cl PBE relaxed
data_MnZn2Cl
_chemical_formula_sum 'Mn1 Zn2 Cl1'
_symmetry_space_group_name_H-M 'P 1'
_symmetry_Int_Tables_number 1
_cell_length_a 4.6555
_cell_length_b 4.6555
_cell_length_c 6.2374
_cell_angle_alpha 86.33
_cell_angle_beta 86.33
_cell_angle_gamma 39.07
loop_
_symmetry_equiv_pos_as_xyz
'x,y,z'
loop_
_atom_site_label
_atom_site_type_symbol
_atom_site_fract_x
_atom_site_fract_y
_atom_site_fract_z
Cl1 Cl 0.6684 0.6684 0.4652
Mn1 Mn 0.2207 0.2207 0.1713
Zn1 Zn 0.9433 0.9433 0.0066
Zn2 Zn 0.6677 0.6677 0.8569
# calculated volume: 85.00 Å³ per cell
# space group: Cm
# energy: -3.4654 eV/atom
# Fermi-level density of states: 1.894 states/eV/f.u.
# ΔE_f (raw): -0.074 eV per atom

# MnZn2Cl PBE relaxed
data_MnZn2Cl
_chemical_formula_sum 'Mn1 Zn2 Cl1'
_symmetry_space_group_name_H-M 'P 1'
_symmetry_Int_Tables_number 1
_cell_length_a 3.1071
_cell_length_b 3.0081
_cell_length_c 7.9123
_cell_angle_alpha 90.00
_cell_angle_beta 90.00
_cell_angle_gamma 90.00
loop_
_symmetry_equiv_pos_as_xyz
'x,y,z'
loop_
_atom_site_label
_atom_site_type_symbol
_atom_site_fract_x
_atom_site_fract_y
_atom_site_fract_z
Cl1 Cl 0.0000 0.0000 0.5768
Mn1 Mn 0.5000 0.5000 0.7618
Zn1 Zn 0.0000 0.0000 0.9834
Zn2 Zn 0.5000 0.5000 0.1779
# calculated volume: 73.95 Å³ per cell
# space group: Pmm2
# energy: -3.4214 eV/atom
# Fermi-level density of states: 1.789 states/eV/f.u.
# ΔE_f (raw): -0.030 eV per atom